(1)
Computed, not measured: NdSn3Pt3 after structural relaxation at the PBE level of DFT.

As for the space group: No. 148. The calculation puts the excess energy over the best structure of this formula in the dataset at 0 meV per atom.

```
NdSn3Pt3
1.0
4.1856 2.4165 5.5592
-4.1856 2.4165 5.5592
0.0000 -4.8331 5.5592
Nd Sn Pt
2 6 6
Direct
0.1653 0.1653 0.1653
0.8347 0.8347 0.8347
0.1154 0.6976 0.4017
0.3024 0.5983 0.8846
0.4017 0.1154 0.6976
0.5983 0.8846 0.3024
0.6976 0.4017 0.1154
0.8846 0.3024 0.5983
0.0602 0.4260 0.7783
0.2217 0.9398 0.5740
0.4260 0.7783 0.0602
0.5740 0.2217 0.9398
0.7783 0.0602 0.4260
0.9398 0.5740 0.2217
```


(2)
Computed, not measured: Nd6Sn3Pt after structural relaxation at the PBE level of DFT.

As for the space group: No. 14.

```
Nd6Sn3Pt
1.0
6.3145 0.0000 0.0000
0.0000 8.9487 0.0000
-6.0646 0.0000 11.1896
Nd Sn Pt
12 6 2
Direct
0.0537 0.1628 0.4376
0.0537 0.3372 0.9376
0.3386 0.6864 0.4387
0.3386 0.8136 0.9387
0.3914 0.0445 0.2618
0.3914 0.4555 0.7618
0.6086 0.5445 0.2382
0.6086 0.9555 0.7382
0.6614 0.1864 0.0613
0.6614 0.3136 0.5613
0.9463 0.6628 0.0624
0.9463 0.8372 0.5624
0.0000 0.0000 0.0000
0.0000 0.5000 0.5000
0.1636 0.1175 0.7583
0.1636 0.3825 0.2583
0.8364 0.6175 0.7417
0.8364 0.8825 0.2417
0.5000 0.0000 0.5000
0.5000 0.5000 0.0000
```


(3)
Computed, not measured: Nd3Sn2Pt after structural relaxation at the PBE level of DFT.

As for the space group: No. 62.

```
Nd3Sn2Pt
1.0
12.5431 0.0000 0.0000
0.0000 4.5961 0.0000
0.0000 0.0000 12.0364
Nd Sn Pt
12 8 4
Direct
0.0531 0.2500 0.1287
0.1199 0.7500 0.5533
0.2305 0.2500 0.8025
0.2695 0.7500 0.3025
0.3801 0.2500 0.0533
0.4469 0.7500 0.6287
0.5531 0.2500 0.3713
0.6199 0.7500 0.9467
0.7305 0.2500 0.6975
0.7695 0.7500 0.1975
0.8801 0.2500 0.4467
0.9469 0.7500 0.8713
0.0052 0.7500 0.3070
0.1893 0.7500 0.0046
0.3107 0.2500 0.5046
0.4948 0.2500 0.8070
0.5052 0.7500 0.1930
0.6893 0.7500 0.4954
0.8107 0.2500 0.9954
0.9948 0.2500 0.6930
0.1243 0.2500 0.3713
0.3757 0.7500 0.8713
0.6243 0.2500 0.1287
0.8757 0.7500 0.6287
```


(4)
Computed, not measured: Nd3Sn2Pt4 after structural relaxation at the PBE level of DFT.

As for the space group: No. 12.

```
Nd3Sn2Pt4
1.0
5.6488 -2.2557 0.0000
5.6488 2.2557 0.0000
-3.8240 0.0000 8.1742
Nd Sn Pt
3 2 4
Direct
0.0000 0.0000 0.0000
0.3649 0.3649 0.3022
0.6351 0.6351 0.6978
0.3359 0.3359 0.6701
0.6641 0.6641 0.3299
0.0796 0.0796 0.4145
0.2823 0.2823 0.9351
0.7177 0.7177 0.0649
0.9204 0.9204 0.5855
```


(5)
Computed, not measured: NdSnPt after structural relaxation at the PBE level of DFT.

As for the space group: No. 107.

```
NdSnPt
1.0
3.5222 0.0000 0.0000
0.0000 3.5222 0.0000
0.0000 0.0000 11.3724
Nd Sn Pt
2 2 2
Direct
0.0000 0.0000 0.0000
0.5000 0.5000 0.5000
0.0000 0.0000 0.7087
0.5000 0.5000 0.2087
0.0000 0.0000 0.3352
0.5000 0.5000 0.8352
```


(6)
Computed, not measured: Nd3Sn2Pt7 after structural relaxation at the PBE level of DFT.

As for the space group: No. 139.

```
Nd3Sn2Pt7
1.0
-2.0761 2.0761 14.8911
2.0761 -2.0761 14.8911
2.0761 2.0761 -14.8911
Nd Sn Pt
3 2 7
Direct
0.0000 0.0000 0.0000
0.1821 0.1821 0.0000
0.8179 0.8179 0.0000
0.3720 0.3720 0.0000
0.6280 0.6280 0.0000
0.0730 0.5730 0.5000
0.2815 0.2815 0.0000
0.4270 0.9270 0.5000
0.5000 0.5000 0.0000
0.5730 0.0730 0.5000
0.7185 0.7185 0.0000
0.9270 0.4270 0.5000
```


(7)
Computed, not measured: Nd3Sn3Pt2 after structural relaxation at the PBE level of DFT.

As for the space group: No. 62.

```
Nd3Sn3Pt2
1.0
8.5383 0.0000 0.0000
0.0000 15.7144 0.0000
0.0000 0.0000 6.0561
Nd Sn Pt
12 12 8
Direct
0.0334 0.1108 0.1196
0.0334 0.3892 0.1196
0.1727 0.2500 0.6354
0.3273 0.7500 0.1354
0.4666 0.6108 0.6196
0.4666 0.8892 0.6196
0.5334 0.1108 0.3804
0.5334 0.3892 0.3804
0.6727 0.2500 0.8646
0.8273 0.7500 0.3646
0.9666 0.6108 0.8804
0.9666 0.8892 0.8804
0.1813 0.7500 0.6250
0.1920 0.0360 0.6077
0.1920 0.4640 0.6077
0.3080 0.5360 0.1077
0.3080 0.9640 0.1077
0.3187 0.2500 0.1250
0.6813 0.7500 0.8750
0.6920 0.0360 0.8923
0.6920 0.4640 0.8923
0.8080 0.5360 0.3923
0.8080 0.9640 0.3923
0.8187 0.2500 0.3750
0.0906 0.6118 0.3731
0.0906 0.8882 0.3731
0.4094 0.1118 0.8731
0.4094 0.3882 0.8731
0.5906 0.6118 0.1269
0.5906 0.8882 0.1269
0.9094 0.1118 0.6269
0.9094 0.3882 0.6269
```


(8)
Computed, not measured: Nd2Sn2Pt15 after structural relaxation at the PBE level of DFT.

As for the space group: No. 166.

```
Nd2Sn2Pt15
1.0
4.7256 2.7283 4.5009
-4.7256 2.7283 4.5009
0.0000 -5.4567 4.5009
Nd Sn Pt
2 2 15
Direct
0.1458 0.1458 0.1458
0.8542 0.8542 0.8542
0.3958 0.3958 0.3958
0.6042 0.6042 0.6042
0.0000 0.5000 0.5000
0.1612 0.1612 0.6698
0.1612 0.6698 0.1612
0.1716 0.5000 0.8284
0.1716 0.8284 0.5000
0.3302 0.8388 0.8388
0.5000 0.0000 0.5000
0.5000 0.1716 0.8284
0.5000 0.5000 0.0000
0.5000 0.8284 0.1716
0.6698 0.1612 0.1612
0.8284 0.1716 0.5000
0.8284 0.5000 0.1716
0.8388 0.3302 0.8388
0.8388 0.8388 0.3302
```


(9)
Computed, not measured: NdSn2Pt3 after structural relaxation at the PBE level of DFT.

As for the space group: No. 139.

```
NdSn2Pt3
1.0
4.0946 0.0000 0.0000
0.0000 4.0946 0.0000
0.0000 0.0000 17.5364
Nd Sn Pt
2 4 6
Direct
0.0000 0.0000 0.0000
0.5000 0.5000 0.5000
0.0000 0.0000 0.3499
0.0000 0.0000 0.6501
0.5000 0.5000 0.1501
0.5000 0.5000 0.8499
0.0000 0.0000 0.5000
0.0000 0.5000 0.2500
0.0000 0.5000 0.7500
0.5000 0.0000 0.2500
0.5000 0.0000 0.7500
0.5000 0.5000 0.0000
```


(10)
Computed, not measured: Nd2SnPt3 after structural relaxation at the PBE level of DFT.

As for the space group: No. 69.

```
Nd2SnPt3
1.0
0.0000 4.6090 7.8861
3.8412 0.0000 7.8861
3.8412 4.6090 0.0000
Nd Sn Pt
4 2 6
Direct
0.2379 0.7621 0.7621
0.2500 0.2500 0.2500
0.7500 0.7500 0.7500
0.7621 0.2379 0.2379
0.3342 0.3342 0.6658
0.6658 0.6658 0.3342
0.1660 0.1660 0.8340
0.1673 0.6651 0.3349
0.3349 0.8327 0.1673
0.6651 0.1673 0.8327
0.8327 0.3349 0.6651
0.8340 0.8340 0.1660
```


(11)
Computed, not measured: NdSnPt after structural relaxation at the PBE level of DFT.

As for the space group: No. 187.

```
NdSnPt
1.0
4.7128 0.0000 0.0000
-2.3564 4.0814 0.0000
0.0000 0.0000 3.7381
Nd Sn Pt
1 1 1
Direct
0.0000 0.0000 0.0000
0.6667 0.3333 0.5000
0.3333 0.6667 0.5000
```


(12)
Computed, not measured: Nd4Sn3Pt after structural relaxation at the PBE level of DFT.

As for the space group: No. 25.

```
Nd4Sn3Pt
1.0
4.4449 0.0000 0.0000
0.0000 4.4735 0.0000
0.0000 0.0000 11.6115
Nd Sn Pt
4 3 1
Direct
0.0000 0.0000 0.0000
0.0000 0.5000 0.2583
0.5000 0.0000 0.4692
0.5000 0.5000 0.7652
0.0000 0.0000 0.7151
0.0000 0.5000 0.5391
0.5000 0.5000 0.0437
0.5000 0.0000 0.2104
```


(13)
Computed, not measured: NdSn3Pt3 after structural relaxation at the PBE level of DFT.

As for the space group: No. 223. The calculation puts the excess energy over the best structure of this formula in the dataset at 340 meV per atom.

```
NdSn3Pt3
1.0
7.2800 0.0000 0.0000
0.0000 7.2800 0.0000
0.0000 0.0000 7.2800
Nd Sn Pt
2 6 6
Direct
0.0000 0.0000 0.0000
0.5000 0.5000 0.5000
0.0000 0.2500 0.5000
0.0000 0.7500 0.5000
0.2500 0.5000 0.0000
0.5000 0.0000 0.2500
0.5000 0.0000 0.7500
0.7500 0.5000 0.0000
0.0000 0.5000 0.2500
0.0000 0.5000 0.7500
0.2500 0.0000 0.5000
0.5000 0.2500 0.0000
0.5000 0.7500 0.0000
0.7500 0.0000 0.5000
```


(14)
Computed, not measured: NdSn3Pt after structural relaxation at the PBE level of DFT.

As for the space group: No. 59.

```
NdSn3Pt
1.0
4.4669 0.0000 0.0000
0.0000 7.2909 0.0000
0.0000 0.0000 7.9802
Nd Sn Pt
2 6 2
Direct
0.2500 0.2500 0.2463
0.7500 0.7500 0.7537
0.2500 0.0362 0.6599
0.2500 0.4638 0.6599
0.2500 0.7500 0.0616
0.7500 0.2500 0.9384
0.7500 0.5362 0.3401
0.7500 0.9638 0.3401
0.2500 0.7500 0.4067
0.7500 0.2500 0.5933
```


(15)
Computed, not measured: NdSnPt after structural relaxation at the PBE level of DFT.

As for the space group: No. 59.

```
NdSnPt
1.0
4.7030 0.0000 0.0000
0.0000 15.0246 0.0000
0.0000 0.0000 8.0320
Nd Sn Pt
8 8 8
Direct
0.2500 0.0047 0.2072
0.2500 0.2500 0.2961
0.2500 0.4953 0.2072
0.2500 0.7500 0.2931
0.7500 0.2500 0.7069
0.7500 0.5047 0.7928
0.7500 0.7500 0.7039
0.7500 0.9953 0.7928
0.2500 0.0972 0.5887
0.2500 0.4028 0.5887
0.2500 0.6507 0.9123
0.2500 0.8493 0.9123
0.7500 0.1507 0.0877
0.7500 0.3493 0.0877
0.7500 0.5972 0.4113
0.7500 0.9028 0.4113
0.2500 0.1392 0.9194
0.2500 0.3608 0.9194
0.2500 0.5993 0.5835
0.2500 0.9007 0.5835
0.7500 0.0993 0.4165
0.7500 0.4007 0.4165
0.7500 0.6392 0.0806
0.7500 0.8608 0.0806
```


(16)
Computed, not measured: Nd12Sn6Pt after structural relaxation at the PBE level of DFT.

As for the space group: No. 148.

```
Nd12Sn6Pt
1.0
6.8139 3.9340 4.2371
-6.8139 3.9340 4.2371
0.0000 -7.8680 4.2371
Nd Sn Pt
12 6 1
Direct
0.0229 0.9431 0.6807
0.0569 0.3193 0.9771
0.1928 0.5647 0.4275
0.3193 0.9771 0.0569
0.4275 0.1928 0.5647
0.4353 0.5725 0.8072
0.5647 0.4275 0.1928
0.5725 0.8072 0.4353
0.6807 0.0229 0.9431
0.8072 0.4353 0.5725
0.9431 0.6807 0.0229
0.9771 0.0569 0.3193
0.1236 0.3086 0.6348
0.3086 0.6348 0.1236
0.3652 0.8764 0.6914
0.6348 0.1236 0.3086
0.6914 0.3652 0.8764
0.8764 0.6914 0.3652
0.0000 0.0000 0.0000
```


(17)
Computed, not measured: NdSnPt after structural relaxation at the PBE level of DFT.

As for the space group: No. 189.

```
NdSnPt
1.0
7.6389 0.0000 0.0000
-3.8195 6.6155 0.0000
0.0000 0.0000 4.1498
Nd Sn Pt
3 3 3
Direct
0.0000 0.4096 0.0000
0.4096 0.0000 0.0000
0.5904 0.5904 0.0000
0.0000 0.7465 0.5000
0.2535 0.2535 0.5000
0.7465 0.0000 0.5000
0.0000 0.0000 0.0000
0.3333 0.6667 0.5000
0.6667 0.3333 0.5000
```


(18)
Computed, not measured: NdSnPt4 after structural relaxation at the PBE level of DFT.

As for the space group: No. 137. The calculation puts the excess energy over the best structure of this formula in the dataset at 374 meV per atom.

```
NdSnPt4
1.0
5.4587 0.0000 0.0000
0.0000 5.4587 0.0000
0.0000 0.0000 9.1879
Nd Sn Pt
2 2 8
Direct
0.2500 0.7500 0.2500
0.7500 0.2500 0.7500
0.2500 0.7500 0.7500
0.7500 0.2500 0.2500
0.0187 0.2500 0.0177
0.2500 0.0187 0.5177
0.2500 0.4813 0.5177
0.4813 0.2500 0.0177
0.5187 0.7500 0.9823
0.7500 0.5187 0.4823
0.7500 0.9813 0.4823
0.9813 0.7500 0.9823
```


(19)
Computed, not measured: NdSn2Pt7 after structural relaxation at the PBE level of DFT.

As for the space group: No. 65.

```
NdSn2Pt7
1.0
3.6484 -6.8297 0.0000
3.6484 6.8297 0.0000
0.0000 0.0000 4.5293
Nd Sn Pt
1 2 7
Direct
0.0000 0.0000 0.0000
0.3001 0.6999 0.5000
0.6999 0.3001 0.5000
0.0790 0.2906 0.5000
0.2054 0.7946 0.0000
0.2906 0.0790 0.5000
0.5000 0.5000 0.5000
0.7094 0.9210 0.5000
0.7946 0.2054 0.0000
0.9210 0.7094 0.5000
```


Calculated E_form in order - -4.36 -6.32 -5.27 -9.10 -2.19 -9.38 -7.55 -9.54 -3.49 -5.58 -2.94 -6.60 -1.98 -2.51 -3.08 -8.94 -3.17 -2.25 -2.56 eV per formula unit
Calculated magnetic moment in order - 0.000 0.000 0.245 0.000 0.000 0.000 0.000 0.000 0.000 0.000 0.000 0.000 0.000 0.000 0.000 0.000 0.000 0.000 0.000 μB per cell